Material: Ac2Ga6TcPt
Method: DFT, GGA-PBE
State: relaxed

Summary:
Energy = -47.5 eV/cell
Theoretical density = 8.60 g/cm3

Lattice parameters (Å, degrees): 6.5467 7.1491 7.1528 54.39 62.80 90.01
Sites, in units of the cell vectors:
1 Tc 0.0000 0.0000 0.0000
2 Ac 0.2887 0.7137 0.4233
3 Ac 0.7113 0.2863 0.5767
4 Ga 0.7557 0.2468 0.0727
5 Ga 0.2451 0.1699 0.5093
6 Ga 0.2443 0.7532 0.9273
7 Ga 0.1716 0.2468 0.0731
8 Ga 0.8284 0.7532 0.9269
9 Ga 0.7549 0.8301 0.4907
10 Pt 0.5000 0.5000 0.0000